Entry 1:
Entry from Alexandria: crystalline Mg3Ag4 at its relaxed geometry (PBE-GGA).

Lattice parameters (Å, degrees): 3.397 3.397 11.410 98.40 98.56 90.00
Fractional coordinates of all 7 atoms:
Mg 0.855 0.355 0.710
Mg 0.000 0.500 0.000
Mg 0.145 0.645 0.290
Ag 0.714 0.214 0.428
Ag 0.286 0.786 0.572
Ag 0.427 0.927 0.855
Ag 0.573 0.073 0.145

Computed properties:
- D(E_F) (states/eV/atom) = 0.28
- calculated formation energy (eV per formula unit) = -1.497
- crystal system = monoclinic
- space-group type = No. 12

***

Entry 2:
Entry from Alexandria: crystalline Si2OsW2 at its relaxed geometry (PBE-GGA).

Lattice parameters (Å, degrees): 6.023 6.023 3.964 90.00 90.00 90.00
Fractional coordinates of all 10 atoms:
Si 0.365 0.865 0.000
Si 0.865 0.635 0.000
Si 0.635 0.135 0.000
Si 0.135 0.365 0.000
Os 0.000 0.000 0.000
Os 0.500 0.500 0.000
W 0.167 0.667 0.500
W 0.667 0.833 0.500
W 0.833 0.333 0.500
W 0.333 0.167 0.500

Computed properties:
- D(E_F) (states/eV/atom) = 0.83
- crystal system = tetragonal
- ΔE_f (raw) (eV/atom) = -0.07
- space-group type = No. 127

***

Entry 3:
Entry from Alexandria: crystalline PuAg2IO6 at its relaxed geometry (PBE-GGA).

Lattice parameters (Å, degrees): 4.335 5.916 5.916 90.00 90.00 90.00
Last column: magnetic moment on the atom in μB.
Fractional coordinates of all 10 atoms:
Pu 0.629 0.000 0.000  3.40
Ag 0.208 0.500 0.000  0.00
Ag 0.208 0.000 0.500  0.00
I 0.627 0.500 0.500  -0.01
O 0.611 0.255 0.255  -0.06
O 0.611 0.255 0.745  -0.06
O 0.203 0.500 0.500  -0.01
O 0.126 0.000 0.000  -0.14
O 0.611 0.745 0.745  -0.06
O 0.611 0.745 0.255  -0.06

Computed properties:
- D(E_F) (states/eV/atom) = 0.68
- crystal system = tetragonal
- ΔE_f (raw) (eV/atom) = -0.95
- space-group type = No. 99